A plane-wave DFT calculation with PBE was carried out for Ba2Li2InPd5 after structural relaxation.

**Total magnetic moment**: 0.0 μB/cell
**Total energy**: -81.748 eV for the cell shown

abc: 10.1733 10.1733 3.8765
angles: 90.00 90.00 90.00
With the nearest neighbours (Å) after each atom.
Space group P4/mbm (No. 127)
Symmetry-distinct sites (fractional):
Ba: 0.1817 0.3183 0.0000 [4 per cell]  3 Li 2.89-3.11
Li: 0.1171 0.6171 0.0000 [4 per cell]  6 Pd 2.57-2.70
In: 0.0000 0.0000 0.0000 [2 per cell]  8 Pd 2.93
Pd: 0.0000 0.5000 0.5000 [2 per cell]  4 Li 2.57
Pd: 0.0575 0.7917 0.5000 [8 per cell]  2 Li 2.70, 2 In 2.93

A plane-wave DFT calculation with PBE was carried out for Cr2InAs after structural relaxation.

**Total magnetic moment**: 10.9 μB/cell
**Excess energy over the best structure of this formula in the dataset**: 19.5 kJ per mole of atoms

abc: 9.0608 3.6449 4.9193
angles: 90.00 122.52 90.00
With the nearest neighbours (Å) after each atom.
Space group C2/m (No. 12)
Symmetry-distinct sites (fractional):
Cr: 0.2149 0.0000 0.2145 [4 per cell]  2 As 2.45
In: 0.0000 0.0000 0.5000 [2 per cell]  8 Cr 2.84-2.96, 4 As 3.06
As: 0.0000 0.5000 0.0000 [2 per cell]  4 Cr 2.45

A plane-wave DFT calculation with PBE was carried out for CaThO after structural relaxation.

**Formation energy without anion corrections**: -1.6229 eV per atom
**Total magnetic moment**: 0.0 μB/cell

abc: 3.6069 3.6069 5.0175
angles: 90.00 90.00 90.00
With the nearest neighbours (Å) after each atom.
Space group P4/mmm (No. 123)
Symmetry-distinct sites (fractional):
Ca: 0.0000 0.0000 0.0000 [1 per cell]  2 O 2.51
Th: 0.5000 0.5000 0.5000 [1 per cell]  4 O 2.55
O: 0.0000 0.0000 0.5000 [1 per cell]  2 Ca 2.51, 4 Th 2.55